First-principles (PBE-GGA) data for a relaxed TaInPb2 crystal, as listed in the Alexandria database.

a = 8.3203 Å, b = 8.3203 Å, c = 8.3203 Å
α = 133.84°, β = 133.84°, γ = 67.34°
Closest atoms and distances in Å follow each position.
Sites, in units of the cell vectors:
Ta  0.0000  0.0000  0.0000  4 Pb 2.76
Ta  0.7500  0.2500  0.5000  4 Pb 2.76
In  0.2500  0.7500  0.5000  4 Pb 3.02
In  0.5000  0.5000  0.0000  4 Pb 3.02
Pb  0.0909  0.6250  0.9659  2 Ta 2.76, 2 In 3.02
Pb  0.3750  0.3409  0.4659  2 Ta 2.76, 2 In 3.02
Pb  0.6591  0.1250  0.0341  2 Ta 2.76, 2 In 3.02
Pb  0.8750  0.9091  0.5341  2 Ta 2.76, 2 In 3.02

Values from the calculation:
As for the formation energy from the elements: 1.05 eV/atom. The total magnetization comes out at 0.00 μB/cell. The calculation puts the total energy at -4.457 eV/atom.

=====

First-principles (PBE-GGA) data for a relaxed CaSm12Tm5 crystal, as listed in the Alexandria database.

a = 10.7890 Å, b = 5.1028 Å, c = 10.8087 Å
α = 90.00°, β = 90.40°, γ = 90.00°
Closest atoms and distances in Å follow each position.
Sites, in units of the cell vectors:
Ca  0.0000  0.0000  0.0000  8 Sm 3.64-3.65, 4 Tm 3.68
Sm  0.0023  0.0000  0.6629  8 Sm 3.52-3.64, 3 Tm 3.58-3.61, 1 Ca 3.64
Sm  0.1686  0.5000  0.5011  4 Tm 3.52-3.58, 8 Sm 3.56-3.64
Sm  0.1712  0.5000  0.1714  8 Sm 3.56-3.64, 2 Ca 3.65, 2 Tm 3.71-3.72
Sm  0.3341  0.0000  0.3340  8 Sm 3.56-3.63, 4 Tm 3.58-3.59
Sm  0.3371  0.0000  0.9978  8 Sm 3.51-3.64, 3 Tm 3.59-3.61, 1 Ca 3.64
Sm  0.4987  0.5000  0.8315  4 Tm 3.51-3.58, 8 Sm 3.56-3.64
Sm  0.5013  0.5000  0.1685  4 Tm 3.51-3.58, 8 Sm 3.56-3.64
Sm  0.6629  0.0000  0.0022  8 Sm 3.51-3.64, 3 Tm 3.59-3.61, 1 Ca 3.64
Sm  0.6659  0.0000  0.6660  8 Sm 3.56-3.63, 4 Tm 3.58-3.59
Sm  0.8288  0.5000  0.8286  8 Sm 3.56-3.64, 2 Ca 3.65, 2 Tm 3.71-3.72
Sm  0.8314  0.5000  0.4989  4 Tm 3.52-3.58, 8 Sm 3.56-3.64
Sm  0.9977  0.0000  0.3371  8 Sm 3.52-3.64, 3 Tm 3.58-3.61, 1 Ca 3.64
Tm  0.1730  0.5000  0.8270  8 Sm 3.51-3.72, 2 Tm 3.55, 2 Ca 3.68
Tm  0.3341  0.0000  0.6660  4 Tm 3.55-3.60, 8 Sm 3.58-3.59
Tm  0.5000  0.5000  0.5000  8 Sm 3.58-3.59, 4 Tm 3.60
Tm  0.6659  0.0000  0.3340  4 Tm 3.55-3.60, 8 Sm 3.58-3.59
Tm  0.8270  0.5000  0.1730  8 Sm 3.51-3.72, 2 Tm 3.55, 2 Ca 3.68

Values from the calculation:
As for the formation energy from the elements: 0.04 eV/atom. The total magnetization comes out at 0.00 μB/cell. The calculation puts the total energy at -4.461 eV/atom.

=====

First-principles (PBE-GGA) data for a relaxed CePmTh3 crystal, as listed in the Alexandria database.

a = 3.5536 Å, b = 3.5536 Å, c = 28.9961 Å
α = 90.00°, β = 90.00°, γ = 120.00°
Closest atoms and distances in Å follow each position.
Sites, in units of the cell vectors:
Ce  0.3333  0.6667  0.0000  6 Th 3.46-3.50, 6 Ce 3.55
Ce  0.6667  0.3333  0.5000  6 Th 3.46-3.50, 6 Ce 3.55
Pm  0.0000  0.0000  0.3035  6 Pm 3.55, 6 Th 3.57-3.70
Pm  0.0000  0.0000  0.8035  6 Pm 3.55, 6 Th 3.57-3.70
Th  0.0000  0.0000  0.0976  3 Ce 3.50, 9 Th 3.54-3.55
Th  0.0000  0.0000  0.5976  3 Ce 3.50, 9 Th 3.54-3.55
Th  0.3333  0.6667  0.4041  3 Ce 3.46, 6 Th 3.55, 3 Pm 3.57
Th  0.3333  0.6667  0.6972  9 Th 3.54-3.55, 3 Pm 3.70
Th  0.6667  0.3333  0.1972  9 Th 3.54-3.55, 3 Pm 3.70
Th  0.6667  0.3333  0.9041  3 Ce 3.46, 6 Th 3.55, 3 Pm 3.57

Values from the calculation:
As for the formation energy from the elements: 0.04 eV/atom. The total magnetization comes out at 0.00 μB/cell. The calculation puts the total energy at -6.549 eV/atom.

=====

First-principles (PBE-GGA) data for a relaxed Na3Dy2RhO6 crystal, as listed in the Alexandria database.

a = 5.6933 Å, b = 5.6933 Å, c = 5.8942 Å
α = 99.05°, β = 99.05°, γ = 119.97°
Closest atoms and distances in Å follow each position.
Sites, in units of the cell vectors:
Na  0.0000  0.0000  0.0000  6 O 2.45-2.54
Na  0.3447  0.6553  0.0000  6 O 2.39-2.63
Na  0.6553  0.3447  0.0000  6 O 2.39-2.63
Dy  0.1674  0.8326  0.5000  6 O 2.28-2.29
Dy  0.8326  0.1674  0.5000  6 O 2.28-2.29
Rh  0.5000  0.5000  0.5000  6 O 2.16-2.17
O  0.1120  0.4290  0.2846  1 Rh 2.17, 2 Dy 2.29, 1 Na 2.43
O  0.2508  0.2508  0.7118  1 Rh 2.16, 2 Dy 2.28, 2 Na 2.39
O  0.4290  0.1120  0.2846  1 Rh 2.17, 2 Dy 2.29, 1 Na 2.43
O  0.5710  0.8880  0.7154  1 Rh 2.17, 2 Dy 2.29, 1 Na 2.43
O  0.7492  0.7492  0.2882  1 Rh 2.16, 2 Dy 2.28, 2 Na 2.39
O  0.8880  0.5710  0.7154  1 Rh 2.17, 2 Dy 2.29, 1 Na 2.43

Values from the calculation:
For the formation energy (no corrections), the calculation gives -2.2027 eV/atom. The total magnetization comes out at 0.00 μB/cell. The calculation puts the total energy at -6.391 eV/atom.